A geometry-optimized PmTcC structure, computed with PBE-GGA.

```
PmTcC
1.0
4.3694 -0.6196 -0.2048
-2.6349 3.5207 0.4249
-0.6569 -0.2903 8.6348
Tc C Pm
2 2 2
direct
0.6315 0.3677 0.9523
0.3685 0.6323 0.0477
0.2009 0.7966 0.8384
0.7991 0.2034 0.1616
0.8789 0.1167 0.7064
0.1211 0.8833 0.2936
```

Properties
**Calculated volume**: 118.8 Å³ per cell
**Polymorph energy (0 for the lowest one)**: 27 meV per atom